# RbThCrO4 (PBE+U, optimized geometry)
# Fermi-level density of states: 0.000 states/eV per atom
# Total energy: -7.536 eV/atom
data_RbThCrO4
_chemical_formula_sum 'Rb2 Th2 Cr2 O8'
_space_group_name_H-M_alt 'P 1'
_space_group_IT_number 1
_space_group_name_Hall 'P 1'
_cell_length_a 6.483
_cell_length_b 6.880
_cell_length_c 7.566
_cell_angle_alpha 123.36
_cell_angle_beta 90.00
_cell_angle_gamma 118.11
loop_
_atom_site_label
_atom_site_fract_x
_atom_site_fract_y
_atom_site_fract_z
O1 0.684 0.944 0.722
O2 0.316 0.056 0.278
O3 0.262 0.524 0.336
O4 0.738 0.476 0.664
O5 0.739 0.056 0.278
O6 0.261 0.944 0.722
O7 0.262 0.524 0.688
O8 0.738 0.476 0.312
Rb1 0.153 0.306 0.903
Rb2 0.847 0.694 0.097
Th1 0.500 0.000 0.500
Th2 0.500 0.000 0.000
Cr1 0.500 0.500 0.500
Cr2 0.000 0.500 0.500